No. 1
First-principles (PBE) data for an optimized crystal structure of CaEr2PuS4, as listed in the Alexandria database.

## Properties
The value obtained for the uncorrected energy is -57.62 eV/cell.

abc: 6.8080 3.9123 6.8164
angles: 90.00 109.35 90.00
Space group P2/m (No. 10)
Asymmetric unit:
Ca1 0.0000 0.0000 0.0000 x1
Er1 0.0000 0.5000 0.5000 x1
Er2 0.5000 0.0000 0.5000 x1
Pu1 0.5000 0.5000 0.0000 x1
S1 0.2472 0.0000 0.7421 x2
S2 0.2519 0.5000 0.2590 x2

No. 2
First-principles (PBE) data for an optimized crystal structure of UCoS, as listed in the Alexandria database.

## Properties
The value obtained for the uncorrected energy is -47.74 eV/cell.

abc: 3.2983 3.2983 8.9132
angles: 90.00 90.00 90.00
Space group I4mm (No. 107)
Asymmetric unit:
U1 0.0000 0.0000 0.0000 x2
Co1 0.0000 0.0000 0.3487 x2
S1 0.0000 0.0000 0.6832 x2

No. 3
First-principles (PBE) data for an optimized crystal structure of CaPmFe4, as listed in the Alexandria database.

## Properties
The value obtained for the uncorrected energy is -158.63 eV/cell. For the formation energy from the elements, the calculation gives 157.7 meV per atom.

abc: 7.3660 7.3660 7.3660
angles: 90.00 90.00 90.00
Space group F-43m (No. 216)
Asymmetric unit:
Ca1 0.0000 0.0000 0.0000 x4
Pm1 0.2500 0.2500 0.7500 x4
Fe1 0.1249 0.1249 0.3751 x16

No. 4
First-principles (PBE) data for an optimized crystal structure of Na3Zn2Te4, as listed in the Alexandria database.

## Properties
The value obtained for the uncorrected energy is -24.52 eV/cell.

abc: 4.4867 7.5246 8.7589
angles: 66.34 75.18 90.00
Space group P-1 (No. 2)
Asymmetric unit:
Na1 0.0000 0.0000 0.0000 x1
Na2 0.1252 0.5516 0.7494 x2
Zn1 0.3302 0.0250 0.3389 x2
Te1 0.2189 0.2087 0.5625 x2
Te2 0.4960 0.2749 0.0078 x2

No. 5
First-principles (PBE) data for an optimized crystal structure of Pr2Dy3Tm5, as listed in the Alexandria database.

## Properties
The value obtained for the uncorrected energy is -175.12 eV/cell. For the formation energy from the elements, the calculation gives 194.2 meV per atom.

abc: 10.5095 15.8752 9.3708
angles: 90.00 123.97 90.00
Space group C2/c (No. 15)
Asymmetric unit:
Pr1 0.1421 0.1288 0.0468 x8
Dy1 0.0000 0.0204 0.2500 x4
Dy2 0.1567 0.3771 0.5507 x8
Tm1 0.0000 0.2310 0.2500 x4
Tm2 0.0000 0.2748 0.7500 x4
Tm3 0.0000 0.4746 0.7500 x4
Tm4 0.2329 0.3773 0.2228 x8

No. 6
First-principles (PBE) data for an optimized crystal structure of Pa2Ge3Ir4Au, as listed in the Alexandria database.

## Properties
The value obtained for the uncorrected energy is -77.40 eV/cell. For the formation energy from the elements, the calculation gives -583.9 meV per atom.

abc: 4.0205 4.0205 11.4614
angles: 90.00 90.00 90.00
Space group P-4m2 (No. 115)
Asymmetric unit:
Pa1 0.0000 0.5000 0.2491 x2
Ge1 0.0000 0.5000 0.8783 x2
Ge2 0.5000 0.5000 0.5000 x1
Ir1 0.0000 0.0000 0.0000 x1
Ir2 0.0000 0.5000 0.6698 x2
Ir3 0.5000 0.5000 0.0000 x1
Au1 0.0000 0.0000 0.5000 x1

No. 7
First-principles (PBE) data for an optimized crystal structure of SrLiAs2, as listed in the Alexandria database.

## Properties
The value obtained for the uncorrected energy is -14.02 eV/cell. For the formation energy from the elements, the calculation gives -280.1 meV per atom.

abc: 3.8697 3.8697 6.3934
angles: 90.00 90.00 90.00
Space group P4mm (No. 99)
Asymmetric unit:
Sr1 0.0000 0.0000 0.0000 x1
Li1 0.5000 0.5000 0.6267 x1
As1 0.0000 0.0000 0.4927 x1
As2 0.5000 0.5000 0.2436 x1

No. 8
First-principles (PBE) data for an optimized crystal structure of Hf8Ti, as listed in the Alexandria database.

## Properties
The value obtained for the uncorrected energy is -173.63 eV/cell. For the formation energy from the elements, the calculation gives 78.9 meV per atom.

abc: 9.4162 9.4162 4.4356
angles: 90.00 90.00 90.00
Space group I4/mmm (No. 139)
Asymmetric unit:
Hf1 0.0000 0.3319 0.0000 x8
Hf2 0.1643 0.1643 0.5000 x8
Ti1 0.0000 0.0000 0.0000 x2

No. 9
First-principles (PBE) data for an optimized crystal structure of Y2NiCl, as listed in the Alexandria database.

## Properties
The value obtained for the uncorrected energy is -77.90 eV/cell.

abc: 7.0758 7.0758 7.0758
angles: 90.00 90.00 90.00
Space group F-43m (No. 216)
Asymmetric unit:
Y1 0.0000 0.0000 0.0000 x4
Y2 0.2500 0.2500 0.2500 x4
Ni1 0.0000 0.0000 0.5000 x4
Cl1 0.2500 0.2500 0.7500 x4

No. 10
First-principles (PBE) data for an optimized crystal structure of Li2LaIn3, as listed in the Alexandria database.

## Properties
The value obtained for the uncorrected energy is -38.09 eV/cell. For the formation energy from the elements, the calculation gives -345.5 meV per atom.

abc: 4.7280 4.7280 14.8639
angles: 90.00 90.00 120.00
Space group P6_3/mmc (No. 194)
Asymmetric unit:
Li1 0.3333 0.6667 0.0787 x4
La1 0.0000 0.0000 0.2500 x2
In1 0.0000 0.0000 0.0000 x2
In2 0.3333 0.6667 0.6208 x4

No. 11
First-principles (PBE) data for an optimized crystal structure of Ce2SmTl2, as listed in the Alexandria database.

## Properties
The value obtained for the uncorrected energy is -42.64 eV/cell. For the formation energy from the elements, the calculation gives 0.2 meV per atom.

abc: 5.5997 7.2691 7.3808
angles: 90.00 90.00 90.00
Space group Cmmm (No. 65)
Asymmetric unit:
Ce1 0.0000 0.1805 0.0000 x4
Sm1 0.0000 0.0000 0.5000 x2
Tl1 0.0000 0.5000 0.2871 x4

No. 12
First-principles (PBE) data for an optimized crystal structure of Li2Zn2H7, as listed in the Alexandria database.

## Properties
The value obtained for the uncorrected energy is -59.32 eV/cell.

abc: 5.5326 8.6522 4.6566
angles: 90.00 97.38 90.00
Space group C2/m (No. 12)
Asymmetric unit:
Li1 0.0000 0.2042 0.0000 x4
Zn1 0.2286 0.0000 0.6422 x4
H1 0.0000 0.5000 0.5000 x2
H2 0.0942 0.0000 0.2869 x4
H3 0.2289 0.3344 0.1974 x8

No. 13
First-principles (PBE) data for an optimized crystal structure of PmNdCuP, as listed in the Alexandria database.

## Properties
The value obtained for the uncorrected energy is -85.35 eV/cell. For the formation energy from the elements, the calculation gives -578.5 meV per atom.

abc: 7.1042 7.1042 7.1042
angles: 90.00 90.00 90.00
Space group F-43m (No. 216)
Asymmetric unit:
Pm1 0.0000 0.0000 0.0000 x4
Nd1 0.0000 0.0000 0.5000 x4
Cu1 0.2500 0.2500 0.7500 x4
P1 0.2500 0.2500 0.2500 x4

No. 14
First-principles (PBE) data for an optimized crystal structure of GaCo2HIr, as listed in the Alexandria database.

## Properties
The value obtained for the uncorrected energy is -29.32 eV/cell.

abc: 3.5961 3.5961 4.0069
angles: 90.00 90.00 90.00
Space group P4/mmm (No. 123)
Asymmetric unit:
Ga1 0.0000 0.0000 0.0000 x1
Co1 0.0000 0.5000 0.5000 x2
H1 0.0000 0.0000 0.5000 x1
Ir1 0.5000 0.5000 0.0000 x1

No. 15
First-principles (PBE) data for an optimized crystal structure of CrInAsCl6, as listed in the Alexandria database.

## Properties
The value obtained for the uncorrected energy is -35.15 eV/cell.

abc: 6.6033 6.6067 6.9151
angles: 92.17 92.22 117.31
Space group P1 (No. 1)
Asymmetric unit:
Cr1 0.0000 0.0000 0.0000 x1
In1 0.6728 0.3275 0.4993 x1
As1 0.3412 0.6588 0.9996 x1
Cl1 0.0274 0.7279 0.7842 x1
Cl2 0.0368 0.3354 0.1812 x1
Cl3 0.2727 0.9730 0.2156 x1
Cl4 0.3187 0.3654 0.7801 x1
Cl5 0.6352 0.6807 0.2190 x1
Cl6 0.6643 0.9631 0.8186 x1

No. 16
First-principles (PBE) data for an optimized crystal structure of KDyAuSe2, as listed in the Alexandria database.

## Properties
The value obtained for the uncorrected energy is -42.86 eV/cell.

abc: 7.6665 4.9500 7.9362
angles: 90.00 98.13 90.00
Space group P2/c (No. 13)
Asymmetric unit:
K1 0.0000 0.1225 0.2500 x2
Dy1 0.5000 0.4939 0.7500 x2
Au1 0.5000 0.0000 0.0000 x2
Se1 0.2479 0.3607 0.9677 x4

No. 17
First-principles (PBE) data for an optimized crystal structure of BaBrN2, as listed in the Alexandria database.

## Properties
The value obtained for the uncorrected energy is -64.46 eV/cell.

abc: 7.0550 7.0550 7.0550
angles: 90.00 90.00 90.00
Space group Fm-3m (No. 225)
Asymmetric unit:
Ba1 0.0000 0.0000 0.0000 x4
Br1 0.0000 0.0000 0.5000 x4
N1 0.2500 0.2500 0.2500 x8

No. 18
First-principles (PBE) data for an optimized crystal structure of YCu2Se, as listed in the Alexandria database.

## Properties
The value obtained for the uncorrected energy is -19.97 eV/cell.

abc: 3.5683 3.5683 6.1746
angles: 90.00 90.00 90.00
Space group P4mm (No. 99)
Asymmetric unit:
Y1 0.0000 0.0000 0.0000 x1
Cu1 0.0000 0.0000 0.4342 x1
Cu2 0.5000 0.5000 0.3625 x1
Se1 0.5000 0.5000 0.7897 x1

No. 19
First-principles (PBE) data for an optimized crystal structure of SmAlFe, as listed in the Alexandria database.

## Properties
The value obtained for the uncorrected energy is -17.09 eV/cell. For the formation energy from the elements, the calculation gives -55.1 meV per atom.

abc: 4.3281 4.3281 3.8650
angles: 90.00 90.00 120.00
Space group P-6m2 (No. 187)
Asymmetric unit:
Sm1 0.0000 0.0000 0.0000 x1
Al1 0.3333 0.6667 0.5000 x1
Fe1 0.6667 0.3333 0.5000 x1

No. 20
First-principles (PBE) data for an optimized crystal structure of TeRu2W, as listed in the Alexandria database.

## Properties
The value obtained for the uncorrected energy is -65.45 eV/cell.

abc: 3.1304 4.5950 8.9723
angles: 90.00 90.00 90.00
Space group Immm (No. 71)
Asymmetric unit:
Te1 0.0000 0.0000 0.0000 x2
Ru1 0.0000 0.5000 0.2661 x4
W1 0.0000 0.0000 0.5000 x2